[1]
# Ce2HfSe6, optimized geometry, DFT GGA-PBE
# **Density**: 5.7 g/cm3
# **Energy relative to the elements, uncorrected**: -1.377 eV per atom
# **Density of states at the Fermi level**: 3.62 states/eV/f.u.
# **Total energy**: -0.450 Ry/atom
data_Ce2HfSe6
_chemical_formula_sum 'Ce4 Hf2 Se12'
_cell_length_a 6.596
_cell_length_b 6.596
_cell_length_c 12.565
_cell_angle_alpha 90.00
_cell_angle_beta 90.00
_cell_angle_gamma 90.00
_symmetry_space_group_name_H-M 'P 42/m n m'
_symmetry_Int_Tables_number 136
_symmetry_space_group_name_Hall '-P 4n 2n'
loop_
_atom_site_label
_atom_site_fract_x
_atom_site_fract_y
_atom_site_fract_z
Ce1 0.000 0.000 0.170
Hf1 0.000 0.000 0.500
Se1 0.193 0.193 0.346
Se2 0.206 0.206 0.000

[2]
# Ce5Hf2Se12, optimized geometry, DFT GGA-PBE
# **Density**: 6.1 g/cm3
# **Energy relative to the elements, uncorrected**: -1.630 eV per atom
# **Density of states at the Fermi level**: 33.55 states/eV/f.u.
# **Total energy**: -0.473 Ry/atom
data_Ce5Hf2Se12
_chemical_formula_sum 'Ce10 Hf4 Se24'
_cell_length_a 16.353
_cell_length_b 7.526
_cell_length_c 9.296
_cell_angle_alpha 90.00
_cell_angle_beta 107.07
_cell_angle_gamma 90.00
_symmetry_space_group_name_H-M 'C 1 2/m 1'
_symmetry_Int_Tables_number 12
loop_
_symmetry_equiv_pos_as_xyz
'x,y,z'
'-x,-y,-z'
'-x,y,-z'
'x,-y,z'
'x+1/2,y+1/2,z'
'-x+1/2,-y+1/2,-z'
'-x+1/2,y+1/2,-z'
'x+1/2,-y+1/2,z'
loop_
_atom_site_label
_atom_site_fract_x
_atom_site_fract_y
_atom_site_fract_z
Ce1 0.000 0.000 0.000
Ce2 0.186 0.500 0.337
Ce3 0.203 0.500 0.855
Hf1 0.000 0.253 0.500
Se1 0.003 0.000 0.308
Se2 0.004 0.500 0.712
Se3 0.149 0.251 0.068
Se4 0.170 0.257 0.589

[3]
# Ce2Hf3Se8, optimized geometry, DFT GGA-PBE
# **Density**: 6.8 g/cm3
# **Energy relative to the elements, uncorrected**: -1.434 eV per atom
# **Density of states at the Fermi level**: 17.65 states/eV/f.u.
# **Total energy**: -0.499 Ry/atom
data_Ce2Hf3Se8
_chemical_formula_sum 'Ce4 Hf6 Se16'
_cell_length_a 14.482
_cell_length_b 7.677
_cell_length_c 6.685
_cell_angle_alpha 90.00
_cell_angle_beta 107.30
_cell_angle_gamma 90.00
_symmetry_space_group_name_H-M 'C 1 2/m 1'
_symmetry_Int_Tables_number 12
loop_
_symmetry_equiv_pos_as_xyz
'x,y,z'
'-x,-y,-z'
'-x,y,-z'
'x,-y,z'
'x+1/2,y+1/2,z'
'-x+1/2,-y+1/2,-z'
'-x+1/2,y+1/2,-z'
'x+1/2,-y+1/2,z'
loop_
_atom_site_label
_atom_site_fract_x
_atom_site_fract_y
_atom_site_fract_z
Ce1 0.248 0.000 0.321
Hf1 0.000 0.000 0.500
Hf2 0.000 0.252 0.000
Se1 0.110 0.250 0.407
Se2 0.111 0.500 0.920
Se3 0.112 0.000 0.898

[4]
# Ce2HfTl3Se6, optimized geometry, DFT GGA-PBE
# **Density**: 7.2 g/cm3
# **Energy relative to the elements, uncorrected**: -1.170 eV per atom
# **Density of states at the Fermi level**: 16.46 states/eV/f.u.
# **Total energy**: -0.391 Ry/atom
data_Ce2HfTl3Se6
_chemical_formula_sum 'Ce4 Hf2 Tl6 Se12'
_cell_length_a 7.240
_cell_length_b 12.507
_cell_length_c 8.201
_cell_angle_alpha 90.00
_cell_angle_beta 107.11
_cell_angle_gamma 90.00
_symmetry_space_group_name_H-M 'C 1 2/m 1'
_symmetry_Int_Tables_number 12
loop_
_symmetry_equiv_pos_as_xyz
'x,y,z'
'-x,-y,-z'
'-x,y,-z'
'x,-y,z'
'x+1/2,y+1/2,z'
'-x+1/2,-y+1/2,-z'
'-x+1/2,y+1/2,-z'
'x+1/2,-y+1/2,z'
loop_
_atom_site_label
_atom_site_fract_x
_atom_site_fract_y
_atom_site_fract_z
Ce1 0.000 0.166 0.000
Hf1 0.000 0.500 0.000
Tl1 0.000 0.000 0.500
Tl2 0.000 0.330 0.500
Se1 0.221 0.346 0.202
Se2 0.237 0.500 0.792

[5]
# Ce2Hf3Si4, optimized geometry, DFT GGA-PBE
# **Density**: 8.5 g/cm3
# **Energy relative to the elements, uncorrected**: -0.783 eV per atom
# **Density of states at the Fermi level**: 9.57 states/eV/f.u.
# **Total energy**: -0.575 Ry/atom
data_Ce2Hf3Si4
_chemical_formula_sum 'Ce4 Hf6 Si8'
_cell_length_a 7.309
_cell_length_b 7.308
_cell_length_c 7.145
_cell_angle_alpha 90.00
_cell_angle_beta 108.79
_cell_angle_gamma 90.00
_symmetry_space_group_name_H-M 'P 1 21/c 1'
_symmetry_Int_Tables_number 14
loop_
_symmetry_equiv_pos_as_xyz
'x,y,z'
'-x,-y,-z'
'-x,y+1/2,-z+1/2'
'x,-y+1/2,z+1/2'
loop_
_atom_site_label
_atom_site_fract_x
_atom_site_fract_y
_atom_site_fract_z
Ce1 0.187 0.167 0.070
Hf1 0.252 0.675 0.250
Hf2 0.500 0.000 0.500
Si1 0.085 0.535 0.872
Si2 0.492 0.126 0.870

[6]
# Ce2HfSi, optimized geometry, DFT GGA-PBE
# **Density**: 9.3 g/cm3
# **Energy relative to the elements, uncorrected**: -0.289 eV per atom
# **Density of states at the Fermi level**: 6.84 states/eV/f.u.
# **Total energy**: -0.522 Ry/atom
# **Energy above the most stable polymorph in this dataset**: 0.00 eV per formula unit
data_Ce2HfSi
_chemical_formula_sum 'Ce2 Hf1 Si1'
_cell_length_a 4.236
_cell_length_b 4.236
_cell_length_c 4.833
_cell_angle_alpha 90.00
_cell_angle_beta 90.00
_cell_angle_gamma 90.00
_symmetry_space_group_name_H-M 'P 4/m m m'
_symmetry_Int_Tables_number 123
_symmetry_space_group_name_Hall '-P 4 2'
loop_
_atom_site_label
_atom_site_fract_x
_atom_site_fract_y
_atom_site_fract_z
Ce1 0.000 0.500 0.000
Hf1 0.000 0.000 0.500
Si1 0.500 0.500 0.500

[7]
# Ce2HfSi, optimized geometry, DFT GGA-PBE
# **Density**: 8.9 g/cm3
# **Energy relative to the elements, uncorrected**: 0.137 eV per atom
# **Density of states at the Fermi level**: 6.52 states/eV/f.u.
# **Total energy**: -0.491 Ry/atom
# **Energy above the most stable polymorph in this dataset**: 1.70 eV per formula unit
data_Ce2HfSi
_chemical_formula_sum 'Ce6 Hf3 Si3'
_cell_length_a 3.0707
_cell_length_b 3.0707
_cell_length_c 33.3506
_cell_angle_alpha 90.00
_cell_angle_beta 90.00
_cell_angle_gamma 120.00
_symmetry_space_group_name_H-M 'R -3 m'
_symmetry_Int_Tables_number 166
_symmetry_space_group_name_Hall '-R 3 2"'
loop_
_atom_site_label
_atom_site_fract_x
_atom_site_fract_y
_atom_site_fract_z
Ce1 0.0000 0.0000 0.0921
Hf1 0.0000 0.0000 0.0000
Si1 0.0000 0.0000 0.5000

[8]
# CeSmHf, optimized geometry, DFT GGA-PBE
# **Density**: 9.4 g/cm3
# **ΔH_f (0 K)**: 0.160 eV/atom
# **Density of states at the Fermi level**: 5.77 states/eV/f.u.
# **Total energy**: -0.493 Ry/atom
# **Energy above the most stable polymorph in this dataset**: 0.00 eV per formula unit
data_CeSmHf
_chemical_formula_sum 'Ce2 Sm2 Hf2'
_cell_length_a 3.303
_cell_length_b 3.303
_cell_length_c 15.234
_cell_angle_alpha 90.00
_cell_angle_beta 90.00
_cell_angle_gamma 90.00
_symmetry_space_group_name_H-M 'I 4 m m'
_symmetry_Int_Tables_number 107
_symmetry_space_group_name_Hall 'I 4 -2'
loop_
_atom_site_label
_atom_site_fract_x
_atom_site_fract_y
_atom_site_fract_z
Ce1 0.000 0.000 0.000
Sm1 0.000 0.000 0.686
Hf1 0.000 0.000 0.346

Question: total energy of number 5 (Ce2Hf3Si4)?
Answer: -0.575 Ry/atom

Question: What is the density in the first record?
Answer: 5.7 g/cm3

Question: Which formula does entry 1 have?
Answer: Ce2HfSe6

Question: Among the records above, which one has the lowest total energy?
Answer: Ce2Hf3Si4